# 1
Compound: KZrSc2Cd
Source: Alexandria via LeMat-Bulk
Functional: PBE
Structure: optimized geometry

Properties
ΔE_f   646 meV/atom

```
KZrSc2Cd
1.0
5.3150 0.0000 0.0000
0.0000 5.8052 0.0000
0.0000 0.0000 5.3150
Sc K Zr Cd
2 1 1 1
Direct
0.0000 0.0000 0.5000
0.5000 0.0000 0.0000
0.5000 0.5000 0.5000
0.0000 0.0000 0.0000
0.0000 0.5000 0.0000
```

# 2
Compound: Tl2PbCl3F
Source: Alexandria via LeMat-Bulk
Functional: PBE
Structure: optimized geometry

Properties
E_form (uncorrected)   -1.287 eV per atom

```
Tl2PbCl3F
1.0
-1.2997 -0.2246 4.5689
2.3254 -5.1881 0.4065
6.8446 6.1814 -0.2239
Tl Pb Cl F
2 1 3 1
Direct
0.6489 0.6489 0.2978
0.3511 0.3511 0.7022
0.0000 0.0000 0.0000
0.0000 0.5000 0.0000
0.1737 0.1737 0.3475
0.8263 0.8263 0.6525
0.5000 0.0000 0.0000
```

# 3
Compound: Zr4V
Source: Alexandria via LeMat-Bulk
Functional: PBE
Structure: optimized geometry

Properties
ΔE_f   843 meV/atom

```
Zr4V
1.0
-0.4767 2.3939 6.5082
-3.9850 5.5233 1.3883
-5.9122 -0.7890 3.5691
Zr V
8 2
Direct
0.8567 0.8567 0.8567
0.8567 0.4298 0.8567
0.8567 0.8567 0.4298
0.3933 0.8202 0.3933
0.3933 0.3933 0.3933
0.4298 0.8567 0.8567
0.3933 0.3933 0.8202
0.8202 0.3933 0.3933
0.2500 0.2500 0.2500
0.0000 0.0000 0.0000
```

# 4
Compound: BeHBr2
Source: Alexandria via LeMat-Bulk
Functional: PBE
Structure: optimized geometry

Properties
Calculated total energy   -7.84 eV per cell

```
BeHBr2
1.0
3.6445 0.1437 2.8038
-0.5358 -0.7407 4.5087
1.5946 -3.8745 1.9001
Be Br H
1 2 1
Direct
0.5000 0.5000 0.5000
0.2500 0.2500 0.2500
0.7500 0.7500 0.7500
0.0000 0.0000 0.0000
```